1.
Compound: Rb2Bi2Pb
Source: Alexandria
Functional: PBE-GGA
Structure: optimized geometry

The structure in extended XYZ format:
```
10
Lattice="-2.569 4.050 -3.522 -4.070 -2.870 -5.357 -9.625 2.722 5.123" Properties=species:S:1:pos:R:3 pbc="T T T"
Rb -6.155 2.642 -2.526
Rb -12.079 5.474 0.025
Rb -10.109 1.260 -1.231
Rb -4.185 -1.572 -3.782
Bi -6.759 0.996 1.048
Bi -13.602 2.560 -2.216
Bi -9.505 2.906 -4.805
Bi -2.662 1.342 -1.541
Pb -8.130 4.118 0.612
Pb -8.133 -0.216 -4.369
```

Values from the calculation:
- formation energy (eV/atom) = -0.29
- E_tot (eV/atom) = -2.9717
- distance to the lowest polymorph of the same formula (eV per atom) = 0.000
- theoretical density (Mg/m³) = 6.15
- space group = C2/m (12)

2.
Compound: InPd2Pb2
Source: Alexandria
Functional: PBE-GGA
Structure: optimized geometry

The structure in extended XYZ format:
```
10
Lattice="8.362 0.000 0.000 0.000 8.362 0.000 0.000 0.000 3.302" Properties=species:S:1:pos:R:3 pbc="T T T"
Pb 2.881 7.062 0.000
Pb 7.062 5.482 0.000
Pb 5.482 1.301 0.000
Pb 1.301 2.881 0.000
Pd 1.116 5.297 1.651
Pd 5.297 7.247 1.651
Pd 7.247 3.065 1.651
Pd 3.065 1.116 1.651
In 0.000 0.000 0.000
In 4.181 4.181 0.000
```

Values from the calculation:
- formation energy (eV/atom) = -0.05
- E_tot (eV/atom) = -4.1629
- distance to the lowest polymorph of the same formula (eV per atom) = 0.159
- theoretical density (Mg/m³) = 10.67
- space group = P4/mbm (127)

3.
Compound: Sr4In3Sn
Source: Alexandria
Functional: PBE-GGA
Structure: optimized geometry

The structure in extended XYZ format:
```
8
Lattice="-2.565 4.008 -0.796 -3.818 -2.037 2.047 3.568 4.493 11.124" Properties=species:S:1:pos:R:3 pbc="T T T"
Sr -1.927 2.578 4.570
Sr 1.164 2.851 10.606
Sr 0.500 0.629 1.558
Sr 1.012 4.893 6.756
Sn -2.927 1.318 1.450
In 0.138 1.560 7.407
In 1.522 1.916 4.744
In 2.024 6.167 9.911
```

Values from the calculation:
- formation energy (eV/atom) = -0.49
- E_tot (eV/atom) = -2.8628
- theoretical density (Mg/m³) = 4.67
- space group = Pmm2 (25)

4.
Compound: Sm3Dy2ScTe6
Source: Alexandria
Functional: PBE-GGA
Structure: optimized geometry

The structure in extended XYZ format:
```
12
Lattice="-2.402 -2.103 2.944 6.589 -5.677 1.320 2.881 7.994 4.857" Properties=species:S:1:pos:R:3 pbc="T T T"
Sm 2.093 -3.890 2.132
Sm 0.978 2.583 5.846
Sm 6.089 -2.370 3.275
Dy 4.309 -0.213 6.566
Dy 2.758 0.426 2.555
Sc -1.201 -1.052 1.472
Te 7.176 -0.461 5.525
Te 3.181 -2.009 4.363
Te -0.109 0.674 3.596
Te 2.029 4.550 8.109
Te 5.038 -4.337 1.012
Te 3.886 2.222 4.758
```

Values from the calculation:
- E_form (uncorrected) (kJ per mole of atoms) = -125
- E_tot (eV/atom) = -5.3438
- theoretical density (Mg/m³) = 7.44
- space group = C2/m (12)

5.
Compound: Cu3SbAs
Source: Alexandria
Functional: PBE-GGA
Structure: optimized geometry

The structure in extended XYZ format:
```
5
Lattice="4.597 0.000 0.000 0.000 4.597 0.000 0.000 0.000 4.597" Properties=species:S:1:pos:R:3 pbc="T T T"
Sb 2.299 2.299 2.299
As 0.000 0.000 0.000
Cu 0.000 2.299 0.000
Cu 0.000 0.000 2.299
Cu 2.299 0.000 0.000
```

Values from the calculation:
- E_form (uncorrected) (kJ per mole of atoms) = 44
- E_tot (eV/atom) = -3.7550
- distance to the lowest polymorph of the same formula (eV per atom) = 0.000
- theoretical density (Mg/m³) = 6.62
- space group = Pm-3m (221)

6.
Compound: TlNiSnH2
Source: Alexandria
Functional: PBE-GGA
Structure: optimized geometry

The structure in extended XYZ format:
```
5
Lattice="4.014 0.000 0.000 0.000 5.192 0.000 0.000 0.000 4.014" Properties=species:S:1:pos:R:3 pbc="T T T"
Ni 0.000 0.000 0.000
Tl 0.000 2.596 0.000
Sn 2.007 2.596 2.007
H 0.000 0.000 2.007
H 2.007 0.000 0.000
```

Values from the calculation:
- E_tot (eV/atom) = -3.1084
- theoretical density (Mg/m³) = 7.62
- space group = P4/mmm (123)

7.
Compound: MnTlRh2
Source: Alexandria
Functional: PBE-GGA
Structure: optimized geometry

The structure in extended XYZ format:
```
4
Lattice="-2.261 -0.414 -1.883 0.894 -2.796 -0.458 -4.346 -2.328 5.730" Properties=species:S:1:pos:R:3 pbc="T T T"
Mn -4.111 -3.441 3.350
Rh -4.317 -2.313 5.692
Rh -1.671 -2.134 0.132
Tl -2.132 -1.142 2.811
```

Values from the calculation:
- formation energy (eV/atom) = 0.22
- E_tot (eV/atom) = -6.3363
- theoretical density (Mg/m³) = 11.58
- space group = P4mm (99)

8.
Compound: CePmNi
Source: Alexandria
Functional: PBE-GGA
Structure: optimized geometry

The structure in extended XYZ format:
```
6
Lattice="3.414 0.006 0.000 -0.014 6.951 0.444 -1.705 -1.428 5.871" Properties=species:S:1:pos:R:3 pbc="T T T"
Ce 0.399 -0.409 5.626
Ce 0.385 6.248 2.431
Pm 0.393 2.836 2.494
Pm 0.391 3.002 5.565
Ni 2.104 0.785 3.713
Ni 2.094 5.060 4.342
```

Values from the calculation:
- formation energy (eV/atom) = -0.14
- E_tot (eV/atom) = -5.6281
- distance to the lowest polymorph of the same formula (eV per atom) = 0.002
- theoretical density (Mg/m³) = 8.07
- space group = C2/m (12)